1.
# Pm5Ge2Au | Alexandria via LeMat-Bulk | PBE | relaxed
# E_tot	-5.1912	eV/atom
# total moment	0.000	μB/atom
# energy relative to the elements	-0.66	eV/atom
data_Pm5Ge2Au
_cell_length_a 7.7318
_cell_length_b 7.7318
_cell_length_c 14.6958
_cell_angle_alpha 90.00
_cell_angle_beta 90.00
_cell_angle_gamma 90.00
_symmetry_space_group_name_H-M 'I 4/m c m'
_symmetry_Int_Tables_number 140
_symmetry_space_group_name_Hall '-I 4 2c'
loop_
_atom_site_label
_atom_site_fract_x
_atom_site_fract_y
_atom_site_fract_z
Pm1 0.0000 0.0000 0.0000
Pm2 0.1717 0.3283 0.1436
Ge1 0.1261 0.3739 0.5000
Au1 0.0000 0.0000 0.2500


2.
# PmGeAu2 | Alexandria via LeMat-Bulk | PBE | relaxed
# E_tot	-4.5718	eV/atom
# total moment	0.000	μB/atom
# energy relative to the elements	-0.59	eV/atom
data_PmGeAu2
_cell_length_a 4.0986
_cell_length_b 4.4603
_cell_length_c 9.8571
_cell_angle_alpha 90.00
_cell_angle_beta 101.76
_cell_angle_gamma 90.00
_symmetry_space_group_name_H-M 'P 1 21/m 1'
_symmetry_Int_Tables_number 11
loop_
_symmetry_equiv_pos_as_xyz
'x,y,z'
'-x,-y,-z'
'-x,y+1/2,-z'
'x,-y+1/2,z'
loop_
_atom_site_label
_atom_site_fract_x
_atom_site_fract_y
_atom_site_fract_z
Pm1 0.1106 0.2500 0.2169
Ge1 0.3279 0.2500 0.6611
Au1 0.2568 0.7500 0.5126
Au2 0.4599 0.2500 0.9214


3.
# PmGeAu2 | Alexandria via LeMat-Bulk | PBE | relaxed
# E_tot	-4.5267	eV/atom
# total moment	0.000	μB/atom
# energy relative to the elements	-0.55	eV/atom
data_PmGeAu2
_cell_length_a 7.0139
_cell_length_b 7.0139
_cell_length_c 7.0139
_cell_angle_alpha 90.00
_cell_angle_beta 90.00
_cell_angle_gamma 90.00
_symmetry_space_group_name_H-M 'F m -3 m'
_symmetry_Int_Tables_number 225
_symmetry_space_group_name_Hall '-F 4 2 3'
loop_
_atom_site_label
_atom_site_fract_x
_atom_site_fract_y
_atom_site_fract_z
Pm1 0.0000 0.0000 0.0000
Ge1 0.0000 0.0000 0.5000
Au1 0.2500 0.2500 0.2500


4.
# Pm3Ge3Au | Alexandria via LeMat-Bulk | PBE | relaxed
# E_tot	-5.2805	eV/atom
# total moment	0.000	μB/atom
# energy relative to the elements	-0.80	eV/atom
data_Pm3Ge3Au
_cell_length_a 4.1489
_cell_length_b 4.3683
_cell_length_c 18.8337
_cell_angle_alpha 90.00
_cell_angle_beta 90.00
_cell_angle_gamma 90.00
_symmetry_space_group_name_H-M 'I m m 2'
_symmetry_Int_Tables_number 44
loop_
_symmetry_equiv_pos_as_xyz
'x,y,z'
'-x,-y,z'
'-x,y,z'
'x,-y,z'
'x+1/2,y+1/2,z+1/2'
'-x+1/2,-y+1/2,z+1/2'
'-x+1/2,y+1/2,z+1/2'
'x+1/2,-y+1/2,z+1/2'
loop_
_atom_site_label
_atom_site_fract_x
_atom_site_fract_y
_atom_site_fract_z
Pm1 0.0000 0.0000 0.0000
Pm2 0.0000 0.0000 0.3663
Pm3 0.0000 0.5000 0.6889
Ge1 0.0000 0.0000 0.5314
Ge2 0.0000 0.0000 0.8362
Ge3 0.0000 0.5000 0.2500
Au1 0.0000 0.5000 0.1171


5.
# Pm5Ge2Au2 | Alexandria via LeMat-Bulk | PBE | relaxed
# E_tot	-5.1473	eV/atom
# total moment	0.000	μB/atom
# energy relative to the elements	-0.75	eV/atom
data_Pm5Ge2Au2
_cell_length_a 15.6982
_cell_length_b 7.8491
_cell_length_c 7.8217
_cell_angle_alpha 90.00
_cell_angle_beta 90.00
_cell_angle_gamma 90.00
_symmetry_space_group_name_H-M 'C m c e'
_symmetry_Int_Tables_number 64
_symmetry_space_group_name_Hall '-C 2ac 2'
loop_
_atom_site_label
_atom_site_fract_x
_atom_site_fract_y
_atom_site_fract_z
Pm1 0.0000 0.0000 0.0000
Pm2 0.1355 0.1767 0.3311
Ge1 0.0000 0.1251 0.6263
Au1 0.2061 0.0000 0.0000


6.
# Pm12Ge6Au | Alexandria via LeMat-Bulk | PBE | relaxed
# E_tot	-5.1403	eV/atom
# total moment	0.005	μB/atom
# energy relative to the elements	-0.51	eV/atom
data_Pm12Ge6Au
_cell_length_a 13.3025
_cell_length_b 13.3025
_cell_length_c 11.8505
_cell_angle_alpha 90.00
_cell_angle_beta 90.00
_cell_angle_gamma 120.00
_symmetry_space_group_name_H-M 'R -3'
_symmetry_Int_Tables_number 148
_symmetry_space_group_name_Hall '-R 3'
loop_
_atom_site_label
_atom_site_fract_x
_atom_site_fract_y
_atom_site_fract_z
Pm1 0.0299 0.2017 0.3866
Pm2 0.0448 0.2149 0.8880
Ge1 0.0399 0.2622 0.6468
Au1 0.0000 0.0000 0.0000